No. 1
Material: CaInRh2Se
Method: DFT, PBE
State: optimized geometry

Geometry as POSCAR:
```
CaInRh2Se
1.0
4.8666 0.0000 0.0000
0.0000 4.8666 0.0000
0.0000 0.0000 5.6013
Ca In Rh Se
1 1 2 1
Cartesian
0.0000 0.0000 0.0000
0.0000 0.0000 2.8007
0.0000 2.4333 0.0000
2.4333 0.0000 0.0000
2.4333 2.4333 2.8007
```

Calculated values
uncorrected energy = -17.084 eV/f.u.

***

No. 2
Material: CaSmInRh
Method: DFT, PBE
State: optimized geometry

Geometry as POSCAR:
```
CaSmInRh
1.0
0.0000 3.6461 3.6461
3.6461 0.0000 3.6461
3.6461 3.6461 0.0000
Ca Sm In Rh
1 1 1 1
Cartesian
0.0000 0.0000 0.0000
3.6461 3.6461 3.6461
1.8230 1.8230 1.8230
5.4691 5.4691 5.4691
```

Calculated values
energy of formation = -0.420 eV per atom

***

No. 3
Material: Ca2InSn2Rh5
Method: DFT, PBE
State: optimized geometry

Geometry as POSCAR:
```
Ca2InSn2Rh5
1.0
10.3032 0.0000 0.0000
0.0000 10.3032 0.0000
0.0000 0.0000 3.6489
Ca In Sn Rh
4 2 4 10
Cartesian
1.7500 3.4017 0.0000
3.4017 8.5533 0.0000
6.9016 1.7500 0.0000
8.5533 6.9016 0.0000
0.0000 0.0000 0.0000
5.1516 5.1516 0.0000
1.3387 6.4903 0.0000
3.8130 1.3387 0.0000
6.4903 8.9646 0.0000
8.9646 3.8130 0.0000
0.0000 5.1516 1.8244
0.6619 8.2632 1.8244
2.0400 0.6619 1.8244
3.1116 5.8135 1.8244
4.4897 3.1116 1.8244
5.1516 0.0000 1.8244
5.8135 7.1917 1.8244
7.1917 4.4897 1.8244
8.2632 9.6413 1.8244
9.6413 2.0400 1.8244
```

Calculated values
energy of formation = -0.464 eV per atom